No. 1
Entry from Alexandria via LeMat-Bulk: a relaxed UTlTe4 crystal (GGA-PBE).

CIF file:
```
data_UTlTe4
_symmetry_space_group_name_H-M 'C 1 2/m 1'
_symmetry_Int_Tables_number 12
_cell_length_a 12.866
_cell_length_b 9.156
_cell_length_c 7.603
_cell_angle_alpha 90.00
_cell_angle_beta 104.11
_cell_angle_gamma 90.00
loop_
_symmetry_equiv_pos_as_xyz
'x,y,z'
'-x,-y,-z'
'-x,y,-z'
'x,-y,z'
'x+1/2,y+1/2,z'
'-x+1/2,-y+1/2,-z'
'-x+1/2,y+1/2,-z'
'x+1/2,-y+1/2,z'
loop_
_atom_site_label
_atom_site_type_symbol
_atom_site_fract_x
_atom_site_fract_y
_atom_site_fract_z
U1 U 0.017 0.000 0.269
Tl1 Tl 0.178 0.500 0.702
Te1 Te 0.000 0.273 0.500
Te2 Te 0.113 0.217 0.032
Te3 Te 0.197 0.000 0.624
```

Values from the calculation:
Density of states at the Fermi level   0.87 states/eV/atom
E   -112.84 eV per cell
ρ   7.3 Mg/m³
Energy above the lowest structure with this stoichiometry   60 meV per atom
Magnetic moment   5.747 μB per cell
Formation energy from raw total energies   -7.65 kcal/mol of atoms
Volume   868.64 Å³ per cell


No. 2
Entry from Alexandria via LeMat-Bulk: a relaxed UBAs crystal (GGA-PBE).

CIF file:
```
data_UBAs
_symmetry_space_group_name_H-M 'I 4/m m m'
_symmetry_Int_Tables_number 139
_symmetry_space_group_name_Hall '-I 4 2'
_cell_length_a 3.967
_cell_length_b 3.967
_cell_length_c 12.840
_cell_angle_alpha 90.00
_cell_angle_beta 90.00
_cell_angle_gamma 90.00
loop_
_atom_site_label
_atom_site_type_symbol
_atom_site_fract_x
_atom_site_fract_y
_atom_site_fract_z
U1 U 0.000 0.000 0.129
B1 B 0.000 0.500 0.000
As1 As 0.000 0.000 0.356
```

Values from the calculation:
Density of states at the Fermi level   1.61 states/eV/atom
E   -91.25 eV per cell
ρ   10.6 Mg/m³
Magnetic moment   0.004 μB per cell
Volume   202.02 Å³ per cell
ΔH_f (0 K)   -6.3 kJ/mol of atoms